Entry 1:
Compound: Zr2ReIr
Source: Alexandria via LeMat-Bulk
Functional: GGA-PBE
Structure: optimized geometry

```
Zr2ReIr
1.0
-2.711 -0.476 -0.776
0.836 -2.265 -1.532
-1.128 -5.281 7.189
Ir Re Zr
1 1 2
Direct
0.000 0.000 0.528
0.500 0.500 0.718
0.000 0.000 0.974
0.500 0.500 0.281
```

Computed properties:
N(E_F) in states/eV/cell: 3.8
Energy of formation in meV per atom: -134
Symmetry: P4mm (99)
Total magnetization in μB per atom: 0.000

***

Entry 2:
Compound: KPbBr
Source: Alexandria via LeMat-Bulk
Functional: GGA-PBE
Structure: optimized geometry

```
KPbBr
1.0
4.005 0.000 0.000
-2.002 3.468 0.000
0.000 0.000 8.001
Br K Pb
1 1 1
Direct
0.000 0.000 0.015
0.667 0.333 0.281
0.333 0.667 0.703
```

Computed properties:
N(E_F) in states/eV/cell: 1.1
Polymorph energy (0 for the lowest one) in eV/atom: 0.011
Symmetry: P3m1 (156)
Total magnetization in μB per atom: 0.000

***

Entry 3:
Compound: MgCd6InPb
Source: Alexandria via LeMat-Bulk
Functional: GGA-PBE
Structure: optimized geometry

```
MgCd6InPb
1.0
-1.735 0.214 -7.843
-8.008 -6.281 1.600
1.428 7.650 4.010
Mg Cd In Pb
2 12 2 2
Direct
0.500 0.000 0.500
0.000 0.000 0.500
0.577 0.827 0.154
0.966 0.216 0.933
0.950 0.148 0.265
0.315 0.617 0.265
0.315 0.148 0.265
0.950 0.617 0.265
0.423 0.173 0.846
0.034 0.784 0.067
0.050 0.852 0.735
0.685 0.383 0.735
0.685 0.852 0.735
0.050 0.383 0.735
0.500 0.500 0.000
0.500 0.000 0.000
0.717 0.467 0.434
0.283 0.533 0.566
```

Computed properties:
N(E_F) in states/eV/cell: 7.4
Energy of formation in meV per atom: 117
Symmetry: Imma (74)
Total magnetization in μB per atom: 0.000

***

Entry 4:
Compound: K3Dy2RuO6
Source: Alexandria via LeMat-Bulk
Functional: GGA-PBE
Structure: optimized geometry

```
K3Dy2RuO6
1.0
5.826 0.002 0.004
-2.910 5.047 0.004
-0.968 -1.677 6.208
K Dy Ru O
3 2 1 6
Direct
0.161 0.839 0.500
0.839 0.161 0.500
0.500 0.500 0.500
0.333 0.667 0.000
0.667 0.333 0.000
0.000 0.000 0.000
0.938 0.619 0.813
0.743 0.743 0.185
0.062 0.381 0.187
0.619 0.938 0.813
0.257 0.257 0.815
0.381 0.062 0.187
```

Computed properties:
N(E_F) in states/eV/cell: 9.7
E_tot in eV/atom: -6.4100
Symmetry: C2/m (12)
Total magnetization in μB per atom: 0.084

***

Entry 5:
Compound: MgSn3F
Source: Alexandria via LeMat-Bulk
Functional: GGA-PBE
Structure: optimized geometry

```
MgSn3F
1.0
4.990 0.000 0.000
0.000 4.990 0.000
0.000 0.000 4.990
Mg Sn F
1 3 1
Direct
0.500 0.500 0.500
0.000 0.500 0.000
0.000 0.000 0.500
0.500 0.000 0.000
0.000 0.000 0.000
```

Computed properties:
N(E_F) in states/eV/cell: 2.9
Polymorph energy (0 for the lowest one) in eV/atom: 0.000
Symmetry: Pm-3m (221)
Total magnetization in μB per atom: 0.000

***

Entry 6:
Compound: Ta2TcRu
Source: Alexandria via LeMat-Bulk
Functional: GGA-PBE
Structure: optimized geometry

```
Ta2TcRu
1.0
4.497 0.000 0.000
2.249 3.895 0.000
2.249 1.298 3.672
Ru Tc Ta
1 1 2
Direct
0.250 0.250 0.250
0.750 0.750 0.750
0.000 0.000 0.000
0.500 0.500 0.500
```

Computed properties:
N(E_F) in states/eV/cell: 3.1
Energy of formation in meV per atom: -411
Symmetry: Fm-3m (225)
Total magnetization in μB per atom: 0.000